First-principles (PBE-GGA) data for AuSe2 after structural relaxation, as listed in Alexandria via LeMat-Bulk.

Calculated values
ΔE_f (raw) = 0.150 eV/atom

Lattice parameters (Å, degrees): 9.080 3.692 9.146 90.00 90.00 90.00
Space group Pnma (No. 62)
One atom of each set of equivalent atoms:
Au: 0.196 0.250 0.049
Se: 0.053 0.750 0.175
Se: 0.143 0.250 0.453